# 1
# ZnCdP2 | the Alexandria database | PBE | relaxed
# Energy relative to the lowest polymorph listed for this composition ... 1.57 eV/f.u.
# ΔE_f ... 0.4529 eV/atom
# Spin magnetization ... 0.000 μB per atom
# Calculated total energy ... -2.7993 eV/atom
data_ZnCdP2
_space_group_name_H-M_alt 'I -4 m 2'
_space_group_IT_number 119
_space_group_name_Hall 'I -4 -2'
_cell_length_a 3.786
_cell_length_b 3.786
_cell_length_c 10.028
_cell_angle_alpha 90.00
_cell_angle_beta 90.00
_cell_angle_gamma 90.00
loop_
_atom_site_label
_atom_site_type_symbol
_atom_site_fract_x
_atom_site_fract_y
_atom_site_fract_z
_atom_site_occupancy
Zn1 Zn 0.000 0.000 0.000 1
Cd1 Cd 0.000 0.500 0.750 1
P1 P 0.000 0.000 0.500 1
P2 P 0.000 0.500 0.250 1

# 2
# CrC5 | the Alexandria database | PBE | relaxed
# Energy relative to the lowest polymorph listed for this composition ... 12.28 eV/f.u.
# ΔE_f ... 2.6122 eV/atom
# Spin magnetization ... 0.000 μB per atom
# Calculated total energy ... -6.6783 eV/atom
data_CrC5
_space_group_name_H-M_alt 'P -6 2 m'
_space_group_IT_number 189
_space_group_name_Hall 'P -6 -2'
_cell_length_a 3.8005
_cell_length_b 3.8005
_cell_length_c 3.8312
_cell_angle_alpha 90.00
_cell_angle_beta 90.00
_cell_angle_gamma 120.00
loop_
_atom_site_label
_atom_site_type_symbol
_atom_site_fract_x
_atom_site_fract_y
_atom_site_fract_z
_atom_site_occupancy
Cr1 Cr 0.0000 0.0000 0.0000 1
C1 C 0.0000 0.7756 0.5000 1
C2 C 0.3333 0.6667 0.0000 1

# 3
# Cd2AgCl | the Alexandria database | PBE | relaxed
# Energy relative to the lowest polymorph listed for this composition ... 0.52 eV/f.u.
# Uncorrected formation energy ... -0.13 eV/atom
# Spin magnetization ... 0.000 μB per atom
# Calculated total energy ... -1.7655 eV/atom
data_Cd2AgCl
_space_group_name_H-M_alt 'I -4 2 d'
_space_group_IT_number 122
_space_group_name_Hall 'I -4 2bw'
_cell_length_a 7.713
_cell_length_b 7.713
_cell_length_c 6.498
_cell_angle_alpha 90.00
_cell_angle_beta 90.00
_cell_angle_gamma 90.00
loop_
_atom_site_label
_atom_site_type_symbol
_atom_site_fract_x
_atom_site_fract_y
_atom_site_fract_z
_atom_site_occupancy
Cd1 Cd 0.245 0.250 0.125 1
Ag1 Ag 0.000 0.000 0.000 1
Cl1 Cl 0.000 0.000 0.500 1

# 4
# Sm2Cd3Pd4 | the Alexandria database | PBE | relaxed
# Energy relative to the lowest polymorph listed for this composition ... 0.00 eV/f.u.
# ΔE_f ... -0.5949 eV/atom
# Spin magnetization ... 0.000 μB per atom
# Calculated total energy ... -4.2566 eV/atom
data_Sm2Cd3Pd4
_space_group_name_H-M_alt 'C 1 2/m 1'
_space_group_IT_number 12
_cell_length_a 8.231
_cell_length_b 4.965
_cell_length_c 9.103
_cell_angle_alpha 90.00
_cell_angle_beta 96.81
_cell_angle_gamma 90.00
loop_
_space_group_symop_operation_xyz
'x,y,z'
'-x,-y,-z'
'-x,y,-z'
'x,-y,z'
'x+1/2,y+1/2,z'
'-x+1/2,-y+1/2,-z'
'-x+1/2,y+1/2,-z'
'x+1/2,-y+1/2,z'
loop_
_atom_site_label
_atom_site_type_symbol
_atom_site_fract_x
_atom_site_fract_y
_atom_site_fract_z
_atom_site_occupancy
Sm1 Sm 0.153 0.000 0.280 1
Cd1 Cd 0.000 0.500 0.500 1
Cd2 Cd 0.199 0.000 0.919 1
Pd1 Pd 0.025 0.500 0.845 1
Pd2 Pd 0.171 0.000 0.601 1

# 5
# GaHg3I | the Alexandria database | PBE | relaxed
# Energy relative to the lowest polymorph listed for this composition ... 2.88 eV/f.u.
# Uncorrected formation energy ... 0.48 eV/atom
# Spin magnetization ... 0.000 μB per atom
# Calculated total energy ... -0.6147 eV/atom
data_GaHg3I
_space_group_name_H-M_alt 'P m -3 m'
_space_group_IT_number 221
_space_group_name_Hall '-P 4 2 3'
_cell_length_a 6.646
_cell_length_b 6.646
_cell_length_c 6.646
_cell_angle_alpha 90.00
_cell_angle_beta 90.00
_cell_angle_gamma 90.00
loop_
_atom_site_label
_atom_site_type_symbol
_atom_site_fract_x
_atom_site_fract_y
_atom_site_fract_z
_atom_site_occupancy
Ga1 Ga 0.000 0.000 0.000 1
Hg1 Hg 0.000 0.500 0.500 1
I1 I 0.500 0.500 0.500 1

# 6
# Cs2YAlF6 | the Alexandria database | PBE | relaxed
# Uncorrected formation energy ... -2.99 eV/atom
# Spin magnetization ... 0.000 μB per atom
# Calculated total energy ... -5.3073 eV/atom
data_Cs2YAlF6
_space_group_name_H-M_alt 'I 4/m m m'
_space_group_IT_number 139
_space_group_name_Hall '-I 4 2'
_cell_length_a 6.696
_cell_length_b 6.696
_cell_length_c 9.564
_cell_angle_alpha 90.00
_cell_angle_beta 90.00
_cell_angle_gamma 90.00
loop_
_atom_site_label
_atom_site_type_symbol
_atom_site_fract_x
_atom_site_fract_y
_atom_site_fract_z
_atom_site_occupancy
Cs1 Cs 0.000 0.500 0.250 1
Y1 Y 0.000 0.000 0.000 1
Al1 Al 0.000 0.000 0.500 1
F1 F 0.000 0.000 0.230 1
F2 F 0.232 0.232 0.000 1